Below is a relaxed structure of CaPm2Nd9, with properties calculated at the PBE-GGA level.

Cell and atoms, written as POSCAR:
```
CaPm2Nd9
1.0
5.219 0.000 0.000
0.000 5.219 0.000
0.000 0.000 15.636
Ca Pm Nd
1 2 9
Direct
0.000 0.000 0.000
0.000 0.000 0.333
0.000 0.000 0.667
0.000 0.500 0.172
0.000 0.500 0.500
0.000 0.500 0.828
0.500 0.000 0.172
0.500 0.000 0.500
0.500 0.000 0.828
0.500 0.500 0.000
0.500 0.500 0.334
0.500 0.500 0.666
```

Calculated values
- Total energy: -4.503 eV/atom
- Magnetization: 0.00 μB per formula unit
- V: 425.86 Å³ per cell
- Formation energy from the elements: 37 kJ/mol of formula units

Below is a relaxed structure of CaPm6Nd8, with properties calculated at the PBE-GGA level.

Cell and atoms, written as POSCAR:
```
CaPm6Nd8
1.0
4.961 2.864 6.161
-4.961 2.864 6.161
0.000 -5.728 6.161
Ca Pm Nd
1 6 8
Direct
0.000 0.000 0.000
0.171 0.620 0.430
0.380 0.570 0.829
0.430 0.171 0.620
0.570 0.829 0.380
0.620 0.430 0.171
0.829 0.380 0.570
0.053 0.382 0.860
0.140 0.947 0.618
0.233 0.233 0.233
0.382 0.860 0.053
0.618 0.140 0.947
0.767 0.767 0.767
0.860 0.053 0.382
0.947 0.618 0.140
```

Calculated values
- Total energy: -4.427 eV/atom
- Magnetization: 0.00 μB per formula unit
- V: 525.27 Å³ per cell
- Formation energy from the elements: 216 kJ/mol of formula units

Below is a relaxed structure of Ca2PmNd4, with properties calculated at the PBE-GGA level.

Cell and atoms, written as POSCAR:
```
Ca2PmNd4
1.0
5.777 0.000 0.000
0.000 5.777 0.000
0.000 0.000 18.034
Ca Pm Nd
4 2 8
Direct
0.000 0.000 0.127
0.000 0.000 0.873
0.500 0.500 0.373
0.500 0.500 0.627
0.000 0.000 0.500
0.500 0.500 0.000
0.000 0.000 0.327
0.000 0.000 0.673
0.000 0.500 0.000
0.000 0.500 0.500
0.500 0.000 0.000
0.500 0.000 0.500
0.500 0.500 0.173
0.500 0.500 0.827
```

Calculated values
- Total energy: -3.404 eV/atom
- Magnetization: 1.22 μB per formula unit
- V: 601.94 Å³ per cell
- Formation energy from the elements: 386 kJ/mol of formula units